## LiVSn (GGA-PBE)

Data for a relaxed structure of LiVSn.

abc: 3.178 3.178 5.366
angles: 107.23 107.23 90.00
Atoms (fractional coordinates):
Li 0.283 0.283 0.567
V 0.626 0.626 0.252
Sn 0.941 0.941 0.881

Output
Total magnetization, μB per cell: 0.00
E_tot, eV for the cell shown: -14.19
Formation energy from the elements, eV/f.u.: 0.8